Entry 1:
First-principles (GGA-PBE) data for a relaxed structure of Ni9Pt2Rh, as listed in Alexandria. Values from VASP.

Quantum ESPRESSO input file:
```
&SYSTEM
  ibrav = 0, nat = 12, ntyp = 3
/
ATOMIC_SPECIES
Ni 58.69 Ni.upf
Pt 195.08 Pt.upf
Rh 102.91 Rh.upf
ATOMIC_POSITIONS crystal
Ni 0.500 0.500 0.668
Ni 0.000 0.500 0.500
Ni 0.500 0.000 0.164
Ni 0.500 0.000 0.836
Pt 0.000 0.000 0.667
Ni 0.500 0.500 0.000
Rh 0.000 0.000 0.000
Ni 0.000 0.500 0.836
Pt 0.000 0.000 0.333
Ni 0.500 0.000 0.500
Ni 0.000 0.500 0.164
Ni 0.500 0.500 0.332
CELL_PARAMETERS angstrom
3.645 0.000 0.000
0.000 3.645 0.000
0.000 0.000 10.946
```

Results
DOS(E_F)	1.6975	states/eV per atom
calculated volume	12.118	A^3/atom
calculated total energy	-5.991	eV/atom
space-group type	No. 123

=====

Entry 2:
First-principles (GGA-PBE) data for a relaxed structure of Ni11Pt4Rh9, as listed in Alexandria. Values from VASP.

Quantum ESPRESSO input file:
```
&SYSTEM
  ibrav = 0, nat = 24, ntyp = 3
/
ATOMIC_SPECIES
Pt 195.08 Pt.upf
Rh 102.91 Rh.upf
Ni 58.69 Ni.upf
ATOMIC_POSITIONS crystal
Pt 0.500 0.560 0.731
Rh 0.500 0.133 0.627
Pt 0.500 0.269 0.440
Ni 0.000 0.234 0.234
Ni 0.000 0.766 0.766
Rh 0.500 0.500 0.500
Rh 0.500 0.627 0.133
Rh 0.500 0.373 0.867
Rh 0.500 0.795 0.967
Ni 0.000 0.829 0.171
Ni 0.000 0.587 0.933
Ni 0.000 0.653 0.347
Ni 0.000 0.000 0.000
Rh 0.500 0.967 0.795
Pt 0.500 0.440 0.269
Pt 0.500 0.731 0.560
Ni 0.000 0.171 0.829
Rh 0.500 0.867 0.373
Ni 0.000 0.933 0.587
Ni 0.000 0.067 0.413
Rh 0.500 0.033 0.205
Ni 0.000 0.413 0.067
Ni 0.000 0.347 0.653
Rh 0.500 0.205 0.033
CELL_PARAMETERS angstrom
2.664 0.000 0.000
0.000 10.654 -2.592
0.000 1.804 10.815
```

Results
DOS(E_F)	1.9419	states/eV per atom
calculated volume	13.309	A^3/atom
calculated total energy	-6.343	eV/atom
space-group type	No. 65

=====

Entry 3:
First-principles (GGA-PBE) data for a relaxed structure of Ni4PtRh3, as listed in Alexandria. Values from VASP.

Quantum ESPRESSO input file:
```
&SYSTEM
  ibrav = 0, nat = 8, ntyp = 3
/
ATOMIC_SPECIES
Ni 58.69 Ni.upf
Rh 102.91 Rh.upf
Pt 195.08 Pt.upf
ATOMIC_POSITIONS crystal
Ni 0.629 0.723 0.258
Rh 0.000 0.500 0.000
Rh 0.867 0.765 0.735
Pt 0.500 0.000 0.000
Rh 0.133 0.235 0.265
Ni 0.248 0.235 0.496
Ni 0.371 0.277 0.742
Ni 0.752 0.765 0.504
CELL_PARAMETERS angstrom
2.616 0.000 -0.576
-0.359 4.261 -1.631
0.945 -3.360 10.523
```

Results
DOS(E_F)	1.7734	states/eV per atom
calculated volume	13.073	A^3/atom
calculated total energy	-6.344	eV/atom
space-group type	No. 12

=====

Entry 4:
First-principles (GGA-PBE) data for a relaxed structure of Ni2PtRh2, as listed in Alexandria. Values from VASP.

Quantum ESPRESSO input file:
```
&SYSTEM
  ibrav = 0, nat = 10, ntyp = 3
/
ATOMIC_SPECIES
Pt 195.08 Pt.upf
Ni 58.69 Ni.upf
Rh 102.91 Rh.upf
ATOMIC_POSITIONS crystal
Pt 0.000 0.000 0.000
Ni 0.667 0.833 0.500
Rh 0.630 0.130 0.000
Ni 0.833 0.333 0.500
Ni 0.167 0.667 0.500
Pt 0.500 0.500 0.000
Rh 0.870 0.630 0.000
Ni 0.333 0.167 0.500
Rh 0.370 0.870 0.000
Rh 0.130 0.370 0.000
CELL_PARAMETERS angstrom
-4.289 3.961 4.061
0.983 -4.496 5.422
2.145 1.471 0.831
```

Results
E above lowest polymorph	0.106	eV/atom
DOS(E_F)	1.5074	states/eV per atom
calculated volume	13.813	A^3/atom
calculated total energy	-6.250	eV/atom
space-group type	No. 127

=====

Entry 5:
First-principles (GGA-PBE) data for a relaxed structure of NiPt7Rh4, as listed in Alexandria. Values from VASP.

Quantum ESPRESSO input file:
```
&SYSTEM
  ibrav = 0, nat = 12, ntyp = 3
/
ATOMIC_SPECIES
Pt 195.08 Pt.upf
Rh 102.91 Rh.upf
Ni 58.69 Ni.upf
ATOMIC_POSITIONS crystal
Pt 0.333 0.667 0.423
Rh 0.667 0.333 0.084
Pt 0.667 0.333 0.577
Pt 0.000 0.000 0.255
Rh 0.333 0.667 0.916
Pt 0.333 0.667 0.167
Rh 0.333 0.667 0.662
Pt 0.000 0.000 0.745
Rh 0.667 0.333 0.338
Pt 0.000 0.000 0.000
Pt 0.667 0.333 0.833
Ni 0.000 0.000 0.500
CELL_PARAMETERS angstrom
-1.558 2.257 0.404
0.508 -1.728 2.107
22.016 14.083 6.244
```

Results
E above lowest polymorph	0.000	eV/atom
DOS(E_F)	1.8188	states/eV per atom
calculated volume	14.898	A^3/atom
calculated total energy	-6.468	eV/atom
space-group type	No. 164

=====

Entry 6:
First-principles (GGA-PBE) data for a relaxed structure of Ni2Pt3Rh4, as listed in Alexandria. Values from VASP.

Quantum ESPRESSO input file:
```
&SYSTEM
  ibrav = 0, nat = 9, ntyp = 3
/
ATOMIC_SPECIES
Pt 195.08 Pt.upf
Rh 102.91 Rh.upf
Ni 58.69 Ni.upf
ATOMIC_POSITIONS crystal
Pt 0.000 0.000 0.000
Rh 0.222 0.330 0.444
Ni 0.331 0.999 0.662
Ni 0.669 0.001 0.338
Rh 0.778 0.670 0.556
Pt 0.115 0.676 0.231
Rh 0.557 0.330 0.113
Pt 0.885 0.324 0.769
Rh 0.443 0.670 0.887
CELL_PARAMETERS angstrom
3.850 0.000 0.000
0.000 6.007 0.571
-1.925 -2.351 5.277
```

Results
DOS(E_F)	1.6929	states/eV per atom
calculated volume	14.135	A^3/atom
calculated total energy	-6.581	eV/atom
space-group type	No. 12